Compound: PmInGe2
Source: Alexandria
Functional: PBE
Structure: optimized geometry

Results
VASP energy	-37.06	eV per cell
symmetry	C2/m (12)
energy of formation	-0.451	eV per atom

a = 4.3808 Å, b = 4.3808 Å, c = 9.9916 Å
α = 102.57°, β = 102.57°, γ = 89.98°
Closest atoms and distances in Å follow each position.
Fractional positions:
Pm 0.1087 0.1087 0.2192  8 Ge 3.02-3.10
Pm 0.8913 0.8913 0.7808  8 Ge 3.02-3.10
In 0.7503 0.2497 0.5000  4 In 3.09-3.10, 4 Ge 3.37, 4 Pm 3.45-3.46
In 0.2497 0.7503 0.5000  4 In 3.09-3.10, 4 Ge 3.37, 4 Pm 3.45-3.46
Ge 0.3854 0.3854 0.7694  4 Ge 3.10, 4 Pm 3.10, 4 In 3.37
Ge 0.6146 0.6146 0.2306  4 Ge 3.10, 4 Pm 3.10, 4 In 3.37
Ge 0.5000 0.0000 0.0000  4 Pm 3.02, 8 Ge 3.10
Ge 0.0000 0.5000 0.0000  4 Pm 3.02, 8 Ge 3.10

Compound: Pm5In2Ge
Source: Alexandria
Functional: PBE
Structure: optimized geometry

Results
VASP energy	-75.31	eV per cell
symmetry	Pbam (55)
energy of formation	-0.476	eV per atom

a = 5.1677 Å, b = 6.9548 Å, c = 13.1220 Å
α = 90.00°, β = 90.00°, γ = 90.00°
Closest atoms and distances in Å follow each position.
Fractional positions:
Pm 0.0000 0.0000 0.5000  4 In 3.40, 2 Ge 3.48, 6 Pm 3.64-3.81
Pm 0.0000 0.5000 0.0000  4 In 3.40, 2 Ge 3.48, 6 Pm 3.64-3.81
Pm 0.0000 0.8701 0.2182  1 Ge 3.00, 2 In 3.24
Pm 0.0000 0.1299 0.7818  1 Ge 3.00, 2 In 3.24
Pm 0.0000 0.6299 0.7182  1 Ge 3.00, 2 In 3.24
Pm 0.0000 0.3701 0.2818  1 Ge 3.00, 2 In 3.24
Pm 0.5000 0.6713 0.4123  2 Ge 3.07, 2 In 3.21-3.37, 1 Pm 3.31
Pm 0.5000 0.3287 0.5877  2 Ge 3.07, 2 In 3.21-3.37, 1 Pm 3.31
Pm 0.5000 0.8287 0.9123  2 Ge 3.07, 2 In 3.21-3.37, 1 Pm 3.31
Pm 0.5000 0.1713 0.0877  2 Ge 3.07, 2 In 3.21-3.37, 1 Pm 3.31
In 0.5000 0.6146 0.1571  9 Pm 3.21-3.54
In 0.5000 0.3854 0.8429  9 Pm 3.21-3.54
In 0.5000 0.8854 0.6571  9 Pm 3.21-3.54
In 0.5000 0.1146 0.3429  9 Pm 3.21-3.54
Ge 0.0000 0.5000 0.5000  6 Pm 3.00-3.07
Ge 0.0000 0.0000 0.0000  6 Pm 3.00-3.07

Compound: Pm8InGe5
Source: Alexandria
Functional: PBE
Structure: optimized geometry

Results
VASP energy	-74.08	eV per cell
symmetry	I-4 (82)
energy of formation	-0.732	eV per atom

a = 7.9461 Å, b = 7.9461 Å, c = 7.9461 Å
α = 109.39°, β = 109.63°, γ = 109.39°
Closest atoms and distances in Å follow each position.
Fractional positions:
Pm 0.1240 0.7607 0.0176  4 Ge 3.00-3.31, 1 In 3.11
Pm 0.9824 0.1065 0.7431  4 Ge 3.00-3.31, 1 In 3.11
Pm 0.7480 0.2432 0.3670  4 Ge 2.98-3.32
Pm 0.6330 0.3810 0.8762  4 Ge 2.98-3.32
Pm 0.4952 0.6190 0.2520  4 Ge 2.98-3.32
Pm 0.6366 0.8935 0.8760  4 Ge 3.00-3.31, 1 In 3.11
Pm 0.2569 0.2393 0.3634  4 Ge 3.00-3.31, 1 In 3.11
Pm 0.1238 0.7568 0.5048  4 Ge 2.98-3.32
In 0.2500 0.5000 0.7500  8 Pm 3.11-3.41
Ge 0.0053 0.3788 0.1295  6 Pm 2.98-3.32
Ge 0.8705 0.8758 0.2493  6 Pm 2.98-3.32
Ge 0.7507 0.6212 0.6266  6 Pm 2.98-3.32
Ge 0.5000 0.0000 0.5000  8 Pm 2.99-3.31
Ge 0.3734 0.1242 0.9947  6 Pm 2.98-3.32

Compound: Pm8In2Ge
Source: Alexandria
Functional: PBE
Structure: optimized geometry

Results
VASP energy	-51.43	eV per cell
symmetry	C2/m (12)
energy of formation	-0.303	eV per atom

a = 5.2670 Å, b = 6.9146 Å, c = 10.0035 Å
α = 104.89°, β = 105.26°, γ = 90.00°
Closest atoms and distances in Å follow each position.
Fractional positions:
Pm 0.4088 0.5404 0.8176  1 Ge 3.20, 3 Pm 3.43-3.49, 2 In 3.44
Pm 0.6528 0.9828 0.3057  1 Ge 2.98, 3 In 3.22-3.31
Pm 0.7874 0.6928 0.5748  3 In 3.25-3.45, 2 Pm 3.45
Pm 0.9883 0.2277 0.9766  2 Ge 3.11, 1 In 3.27, 3 Pm 3.30-3.43
Pm 0.2126 0.3072 0.4252  3 In 3.25-3.45, 2 Pm 3.45
Pm 0.3472 0.0172 0.6943  1 Ge 2.98, 3 In 3.22-3.31
Pm 0.5912 0.4596 0.1824  1 Ge 3.20, 3 Pm 3.43-3.49, 2 In 3.44
Pm 0.0117 0.7723 0.0234  2 Ge 3.11, 1 In 3.27, 3 Pm 3.30-3.43
In 0.8221 0.2577 0.6442  9 Pm 3.22-3.45
In 0.1779 0.7423 0.3558  9 Pm 3.22-3.45
Ge 0.5000 0.0000 0.0000  8 Pm 2.98-3.20